(1)
# Tc5Au PBE optimized geometry
# Energy of formation: 122 meV/atom
# E above lowest polymorph: 12 kJ/mol of formula units
data_Tc5Au
_chemical_formula_sum 'Tc5 Au1'
_cell_length_a 5.233
_cell_length_b 5.233
_cell_length_c 6.574
_cell_angle_alpha 76.34
_cell_angle_beta 76.34
_cell_angle_gamma 31.02
_space_group_name_H-M_alt 'P 1'
_space_group_IT_number 1
loop_
_space_group_symop_operation_xyz
'x,y,z'
loop_
_atom_site_label
_atom_site_fract_x
_atom_site_fract_y
_atom_site_fract_z
_atom_site_occupancy
Tc1 0.617 0.617 0.284 1
Tc2 0.329 0.329 0.344 1
Tc3 0.942 0.942 0.606 1
Tc4 0.668 0.668 0.659 1
Tc5 0.278 0.278 0.938 1
Au1 0.999 0.999 0.003 1

(2)
# AlZnTe2 PBE optimized geometry
# E above lowest polymorph: 35 kJ/mol of formula units
# Formation energy from raw total energies: -16.0 kJ/mol of atoms
data_AlZnTe2
_chemical_formula_sum 'Al2 Zn2 Te4'
_cell_length_a 6.286
_cell_length_b 6.286
_cell_length_c 7.978
_cell_angle_alpha 66.80
_cell_angle_beta 66.80
_cell_angle_gamma 90.00
_space_group_name_H-M_alt 'P 1'
_space_group_IT_number 1
loop_
_space_group_symop_operation_xyz
'x,y,z'
loop_
_atom_site_label
_atom_site_fract_x
_atom_site_fract_y
_atom_site_fract_z
_atom_site_occupancy
Zn1 0.000 0.000 0.000 1
Zn2 0.750 0.250 0.500 1
Te1 0.633 0.125 0.250 1
Te2 0.117 0.625 0.250 1
Te3 0.375 0.367 0.750 1
Te4 0.875 0.883 0.750 1
Al1 0.500 0.500 0.000 1
Al2 0.250 0.750 0.500 1

(3)
# La4GaS2Br PBE optimized geometry
# Formation energy from raw total energies: -150.1 kJ/mol of atoms
data_La4GaS2Br
_chemical_formula_sum 'La4 Ga1 S2 Br1'
_cell_length_a 4.177
_cell_length_b 7.481
_cell_length_c 7.494
_cell_angle_alpha 71.75
_cell_angle_beta 90.00
_cell_angle_gamma 90.00
_space_group_name_H-M_alt 'P 1'
_space_group_IT_number 1
loop_
_space_group_symop_operation_xyz
'x,y,z'
loop_
_atom_site_label
_atom_site_fract_x
_atom_site_fract_y
_atom_site_fract_z
_atom_site_occupancy
La1 0.000 0.769 0.748 1
La2 0.000 0.231 0.252 1
La3 0.500 0.775 0.230 1
La4 0.500 0.225 0.770 1
Ga1 0.500 0.500 0.000 1
S1 0.000 0.000 0.000 1
S2 0.500 0.000 0.500 1
Br1 0.000 0.500 0.500 1

(4)
# Cs2CuBrCl3 PBE optimized geometry
# E above lowest polymorph: 3 kJ/mol of formula units
# Formation energy from raw total energies: -124.7 kJ/mol of atoms
data_Cs2CuBrCl3
_chemical_formula_sum 'Cs2 Cu1 Br1 Cl3'
_cell_length_a 5.275
_cell_length_b 5.313
_cell_length_c 9.082
_cell_angle_alpha 107.01
_cell_angle_beta 106.88
_cell_angle_gamma 90.00
_space_group_name_H-M_alt 'P 1'
_space_group_IT_number 1
loop_
_space_group_symop_operation_xyz
'x,y,z'
loop_
_atom_site_label
_atom_site_fract_x
_atom_site_fract_y
_atom_site_fract_z
_atom_site_occupancy
Cs1 0.643 0.643 0.286 1
Cs2 0.357 0.357 0.714 1
Cu1 0.000 0.000 0.000 1
Br1 0.500 0.000 0.000 1
Cl1 0.000 0.500 0.000 1
Cl2 0.141 0.141 0.282 1
Cl3 0.859 0.859 0.718 1

(5)
# SrPaNbN3 PBE optimized geometry
# Formation energy from raw total energies: -105.0 kJ/mol of atoms
data_SrPaNbN3
_chemical_formula_sum 'Sr2 Pa2 Nb2 N6'
_cell_length_a 3.575
_cell_length_b 9.178
_cell_length_c 6.462
_cell_angle_alpha 100.29
_cell_angle_beta 90.00
_cell_angle_gamma 90.00
_space_group_name_H-M_alt 'P 1'
_space_group_IT_number 1
loop_
_space_group_symop_operation_xyz
'x,y,z'
loop_
_atom_site_label
_atom_site_fract_x
_atom_site_fract_y
_atom_site_fract_z
_atom_site_occupancy
Sr1 0.750 0.700 0.656 1
Sr2 0.250 0.300 0.344 1
Pa1 0.250 0.657 0.138 1
Pa2 0.750 0.343 0.862 1
Nb1 0.250 0.057 0.661 1
Nb2 0.750 0.943 0.339 1
N1 0.250 0.842 0.452 1
N2 0.750 0.787 0.058 1
N3 0.750 0.499 0.194 1
N4 0.750 0.158 0.548 1
N5 0.250 0.501 0.806 1
N6 0.250 0.213 0.942 1

(6)
# CsNbTl2O4 PBE optimized geometry
# Formation energy from raw total energies: -168.1 kJ/mol of atoms
data_CsNbTl2O4
_chemical_formula_sum 'Cs2 Nb2 Tl4 O8'
_cell_length_a 6.020
_cell_length_b 8.205
_cell_length_c 8.255
_cell_angle_alpha 90.00
_cell_angle_beta 90.00
_cell_angle_gamma 90.00
_space_group_name_H-M_alt 'P 1'
_space_group_IT_number 1
loop_
_space_group_symop_operation_xyz
'x,y,z'
loop_
_atom_site_label
_atom_site_fract_x
_atom_site_fract_y
_atom_site_fract_z
_atom_site_occupancy
Cs1 0.970 0.102 0.500 1
Cs2 0.470 0.898 0.000 1
Nb1 0.508 0.761 0.500 1
Nb2 0.008 0.239 0.000 1
Tl1 0.482 0.344 0.275 1
Tl2 0.482 0.344 0.725 1
Tl3 0.982 0.656 0.775 1
Tl4 0.982 0.656 0.225 1
O1 0.323 0.267 0.000 1
O2 0.823 0.733 0.500 1
O3 0.451 0.982 0.500 1
O4 0.951 0.018 0.000 1
O5 0.392 0.665 0.691 1
O6 0.892 0.335 0.191 1
O7 0.892 0.335 0.809 1
O8 0.392 0.665 0.309 1

(7)
# VCoSn2 PBE optimized geometry
# Energy of formation: 538 meV/atom
# E above lowest polymorph: 126 kJ/mol of formula units
data_VCoSn2
_chemical_formula_sum 'V1 Co1 Sn2'
_cell_length_a 3.093
_cell_length_b 3.093
_cell_length_c 9.566
_cell_angle_alpha 80.70
_cell_angle_beta 80.70
_cell_angle_gamma 60.00
_space_group_name_H-M_alt 'P 1'
_space_group_IT_number 1
loop_
_space_group_symop_operation_xyz
'x,y,z'
loop_
_atom_site_label
_atom_site_fract_x
_atom_site_fract_y
_atom_site_fract_z
_atom_site_occupancy
Co1 0.500 0.500 0.500 1
Sn1 0.097 0.097 0.708 1
Sn2 0.903 0.903 0.292 1
V1 0.000 0.000 0.000 1

(8)
# Na3PmPb6 PBE optimized geometry
# Energy of formation: -210 meV/atom
data_Na3PmPb6
_chemical_formula_sum 'Na6 Pm2 Pb12'
_cell_length_a 4.833
_cell_length_b 10.944
_cell_length_c 11.199
_cell_angle_alpha 93.15
_cell_angle_beta 90.00
_cell_angle_gamma 90.00
_space_group_name_H-M_alt 'P 1'
_space_group_IT_number 1
loop_
_space_group_symop_operation_xyz
'x,y,z'
loop_
_atom_site_label
_atom_site_fract_x
_atom_site_fract_y
_atom_site_fract_z
_atom_site_occupancy
Na1 0.250 0.553 0.405 1
Na2 0.750 0.447 0.595 1
Na3 0.250 0.347 0.799 1
Na4 0.750 0.653 0.201 1
Na5 0.250 0.748 0.006 1
Na6 0.750 0.252 0.994 1
Pm1 0.250 0.941 0.619 1
Pm2 0.750 0.059 0.381 1
Pb1 0.250 0.447 0.107 1
Pb2 0.750 0.553 0.893 1
Pb3 0.250 0.164 0.193 1
Pb4 0.750 0.836 0.807 1
Pb5 0.250 0.641 0.709 1
Pb6 0.750 0.359 0.291 1
Pb7 0.250 0.244 0.511 1
Pb8 0.750 0.756 0.489 1
Pb9 0.250 0.846 0.315 1
Pb10 0.750 0.154 0.685 1
Pb11 0.250 0.046 0.909 1
Pb12 0.750 0.954 0.091 1

no.,total magnetic moment (μB/f.u.),volume (Å³/cell)
1,0.00,89.9
2,0.00,261.8
3,0.00,222.4
4,0.81,231.9
5,0.00,208.6
6,0.00,407.7
7,0.91,77.9
8,0.00,591.5